# 1
DFT (PBE) results for a relaxed structure of SmBr2.

abc: 8.8849 8.8849 8.8849
angles: 90.00 90.00 90.00
Space group Fd-3m (No. 227, origin choice 2)
Unique sites:
Sm1 0.1250 0.1250 0.1250
Br1 0.0000 0.0000 0.5000



# 2
DFT (PBE) results for a relaxed structure of Sm4I6O.

abc: 9.8668 9.8668 8.4211
angles: 90.00 90.00 120.00
Space group P6_3mc (No. 186)
Unique sites:
Sm1 0.2016 0.4033 0.0000
Sm2 0.3333 0.6667 0.6880
I1 0.0528 0.5264 0.3155
I2 0.1349 0.2698 0.6292
O1 0.3333 0.6667 0.9755



| no. | size of the total moment (μB per cell) | electronic total energy (Ha/atom) |
| --- | --- | --- |
| 1 | 8.593 | -0.106 |
| 2 | 3.682 | -0.161 |